# TmTcNO

A relaxed TmTcNO crystal (PBE-GGA, the Open Quantum Materials Database).

Structure (extended XYZ):
```
8
Lattice="3.517 0.000 0.000 0.000 5.107 0.000 0.000 0.000 6.155" Properties=species:S:1:pos:R:3 pbc="T T T"
N 0.000 4.884 2.230
N 0.000 2.330 3.925
O 1.759 1.783 0.483
O 1.759 4.337 5.672
Tc 1.759 5.013 1.499
Tc 1.759 2.459 4.656
Tm 0.000 2.386 1.673
Tm 0.000 4.939 4.483
```

Calculated values
Energy relative to the lowest polymorph listed for this composition = 545.3 meV per atom

---

# Dy3Er3Sb2Os

A relaxed Dy3Er3Sb2Os crystal (PBE-GGA, the Open Quantum Materials Database).

Structure (extended XYZ):
```
9
Lattice="8.165 0.000 0.000 -4.082 7.071 0.000 0.000 0.000 4.188" Properties=species:S:1:pos:R:3 pbc="T T T"
Dy 6.225 0.000 2.094
Dy 0.970 1.680 2.094
Dy -3.112 5.391 2.094
Er 3.222 0.000 0.000
Er -1.611 2.791 0.000
Er 2.471 4.280 0.000
Os 0.000 0.000 0.000
Sb 4.082 2.357 2.094
Sb 0.000 4.714 2.094
```

Calculated values
Energy relative to the lowest polymorph listed for this composition = 40.7 meV per atom

---

# Er4GaNi2Ge4

A relaxed Er4GaNi2Ge4 crystal (PBE-GGA, the Open Quantum Materials Database).

Structure (extended XYZ):
```
11
Lattice="7.601 -2.105 0.000 7.601 2.105 0.000 -2.152 0.000 6.557" Properties=species:S:1:pos:R:3 pbc="T T T"
Er 5.142 0.000 0.399
Er 8.131 0.000 2.529
Er 4.919 0.000 4.029
Er 7.908 0.000 6.158
Ga 0.000 0.000 0.000
Ge 2.491 0.000 1.748
Ge 13.505 0.000 2.183
Ge -0.455 0.000 4.374
Ge 10.559 0.000 4.810
Ni 11.123 0.000 2.350
Ni 1.927 0.000 4.207
```

Calculated values
Energy = -5.410 eV/atom

---

# Sr3ZnPtO6

A relaxed Sr3ZnPtO6 crystal (PBE-GGA, the Open Quantum Materials Database).

Structure (extended XYZ):
```
22
Lattice="-4.698 -3.388 -3.349 0.329 4.637 -4.811 4.871 -3.574 -2.875" Properties=species:S:1:pos:R:3 pbc="T T T"
O -2.848 1.656 -6.860
O -3.964 -2.245 -4.873
O -1.374 -0.695 -4.373
O 1.287 3.106 -5.762
O 1.169 0.333 -4.474
O -0.284 0.005 -7.104
O 0.786 -2.330 -3.931
O -0.668 -2.658 -6.561
O -0.786 -5.431 -5.274
O 1.875 -1.630 -6.662
O 4.465 -0.080 -6.162
O 3.350 -3.981 -4.175
Pt 0.000 0.000 0.000
Pt 0.251 -1.163 -5.518
Sr -1.000 1.763 -5.228
Sr -2.737 -1.039 -6.642
Sr -1.611 -3.382 -4.172
Sr 2.113 1.057 -6.863
Sr 3.238 -1.286 -4.393
Sr 1.502 -4.088 -5.807
Zn 0.125 -0.581 -2.759
Zn 0.376 -1.744 -8.276
```

Calculated values
Energy = -5.829 eV/atom